YPa2TlO8: optimized geometry, PBE-GGA.

Computed properties:
* total magnetic moment: 0.000 μB/atom
* N(E_F): 0.000 states/eV/cell
* ρ: 6.3 g cm⁻³
* ΔE_f (raw): -2.574 eV per atom

Structure (CIF):
```
data_YPa2TlO8
_chemical_formula_sum 'Y1 Pa2 Tl1 O8'
_cell_length_a 6.5924
_cell_length_b 6.5924
_cell_length_c 6.2097
_cell_angle_alpha 90.00
_cell_angle_beta 90.00
_cell_angle_gamma 120.00
_space_group_name_H-M_alt 'P -3 m 1'
_space_group_IT_number 164
_space_group_name_Hall '-P 3 2"'
loop_
_atom_site_label
_atom_site_type_symbol
_atom_site_fract_x
_atom_site_fract_y
_atom_site_fract_z
_atom_site_occupancy
Y1 Y 0.0000 0.0000 0.0000 1
Pa1 Pa 0.3333 0.6667 0.2067 1
Tl1 Tl 0.0000 0.0000 0.5000 1
O1 O 0.1492 0.2984 0.2519 1
O2 O 0.3333 0.6667 0.8984 1
```